Entry 1:
VASP calculation (GGA-PBE) on crystalline TbErRh at its relaxed geometry.

Cell lengths 9.2421, 12.7409, 7.3638 Å; angles 90.00, 90.00, 90.00 degrees
Space group Ima2 (No. 46)
One atom of each set of equivalent atoms:
1 Tb 0.2500 0.0002 0.0000 [4 per cell]
2 Tb 0.2500 0.2040 0.3895 [4 per cell]
3 Tb 0.2500 0.7037 0.8890 [4 per cell]
4 Er 0.0000 0.0000 0.3300 [4 per cell]
5 Er 0.9997 0.1312 0.7236 [8 per cell]
6 Rh 0.9995 0.1667 0.0922 [8 per cell]
7 Rh 0.2500 0.0003 0.5927 [4 per cell]

Calculated values
Polymorph energy (0 for the lowest one), eV per atom: 0.012

Entry 2:
VASP calculation (GGA-PBE) on crystalline TbEr6Rh2 at its relaxed geometry.

Cell lengths 15.8227, 3.7110, 10.7592 Å; angles 90.00, 130.24, 90.00 degrees
Space group C2/m (No. 12)
One atom of each set of equivalent atoms:
1 Tb 0.0000 0.0000 0.0000 [2 per cell]
2 Er 0.0199 0.0000 0.6888 [4 per cell]
3 Er 0.1944 0.5000 0.0537 [4 per cell]
4 Er 0.2261 0.5000 0.6151 [4 per cell]
5 Rh 0.0981 0.5000 0.2714 [4 per cell]

Entry 3:
VASP calculation (GGA-PBE) on crystalline Tb2Er2Rh15 at its relaxed geometry.

Cell lengths 9.0950, 9.0950, 13.4980 Å; angles 90.00, 90.00, 120.00 degrees
Space group R-3m (No. 166, hexagonal axes)
One atom of each set of equivalent atoms:
1 Tb 0.0000 0.0000 0.1393 [6 per cell]
2 Er 0.0000 0.0000 0.3907 [6 per cell]
3 Rh 0.0000 0.3075 0.5000 [18 per cell]
4 Rh 0.0000 0.5000 0.0000 [9 per cell]
5 Rh 0.0077 0.5038 0.6532 [18 per cell]

Entry 4:
VASP calculation (GGA-PBE) on crystalline TbErRh4 at its relaxed geometry.

Cell lengths 7.5387, 7.5387, 7.5387 Å; angles 90.00, 90.00, 90.00 degrees
Space group F-43m (No. 216)
One atom of each set of equivalent atoms:
1 Tb 0.0000 0.0000 0.0000 [4 per cell]
2 Er 0.2500 0.2500 0.2500 [4 per cell]
3 Rh 0.1249 0.1249 0.6249 [16 per cell]

Entry 5:
VASP calculation (GGA-PBE) on crystalline Tb3Er3Rh2 at its relaxed geometry.

Cell lengths 3.7942, 13.0404, 17.8707 Å; angles 90.00, 90.00, 90.00 degrees
Space group Cmcm (No. 63)
One atom of each set of equivalent atoms:
1 Tb 0.0000 0.0582 0.0904 [8 per cell]
2 Tb 0.0000 0.2791 0.2500 [4 per cell]
3 Er 0.0000 0.3286 0.0581 [8 per cell]
4 Er 0.0000 0.4471 0.7500 [4 per cell]
5 Rh 0.0000 0.2952 0.6342 [8 per cell]

Entry 6:
VASP calculation (GGA-PBE) on crystalline TbErRh at its relaxed geometry.

Cell lengths 4.5655, 4.5655, 4.0216 Å; angles 90.00, 90.00, 120.00 degrees
Space group P3m1 (No. 156)
One atom of each set of equivalent atoms:
1 Tb 0.0000 0.0000 0.0000 [1 per cell]
2 Er 0.6667 0.3333 0.5309 [1 per cell]
3 Rh 0.3333 0.6667 0.2801 [1 per cell]

Calculated values
Polymorph energy (0 for the lowest one), eV per atom: 0.225

Entry 7:
VASP calculation (GGA-PBE) on crystalline TbEr2Rh9 at its relaxed geometry.

Cell lengths 5.2480, 5.2480, 26.2530 Å; angles 90.00, 90.00, 120.00 degrees
Space group R-3m (No. 166, hexagonal axes)
One atom of each set of equivalent atoms:
1 Tb 0.0000 0.0000 0.0000 [3 per cell]
2 Er 0.0000 0.0000 0.1391 [6 per cell]
3 Rh 0.0000 0.0000 0.3331 [6 per cell]
4 Rh 0.0000 0.0000 0.5000 [3 per cell]
5 Rh 0.0007 0.5003 0.9170 [18 per cell]

Entry 8:
VASP calculation (GGA-PBE) on crystalline Tb2ErRh3 at its relaxed geometry.

Cell lengths 3.4257, 3.4257, 10.2785 Å; angles 90.00, 90.00, 90.00 degrees
Space group P4/mmm (No. 123)
One atom of each set of equivalent atoms:
1 Tb 0.0000 0.0000 0.1678 [2 per cell]
2 Er 0.0000 0.0000 0.5000 [1 per cell]
3 Rh 0.5000 0.5000 0.0000 [1 per cell]
4 Rh 0.5000 0.5000 0.3369 [2 per cell]

Calculated values
Polymorph energy (0 for the lowest one), eV per atom: 0.003

Entry 9:
VASP calculation (GGA-PBE) on crystalline TbEr4Rh2 at its relaxed geometry.

Cell lengths 7.7660, 6.3215, 7.8397 Å; angles 90.00, 112.65, 90.00 degrees
Space group P2_1/m (No. 11)
One atom of each set of equivalent atoms:
1 Tb 0.0255 0.2500 0.1602 [2 per cell]
2 Er 0.2390 0.5022 0.5886 [4 per cell]
3 Er 0.3352 0.7500 0.2493 [2 per cell]
4 Er 0.3840 0.2500 0.0169 [2 per cell]
5 Rh 0.0113 0.2500 0.7405 [2 per cell]
6 Rh 0.4116 0.2500 0.3739 [2 per cell]

Entry 10:
VASP calculation (GGA-PBE) on crystalline Tb3Er2Rh2 at its relaxed geometry.

Cell lengths 11.9881, 3.8057, 8.8618 Å; angles 90.00, 115.97, 90.00 degrees
Space group C2/m (No. 12)
One atom of each set of equivalent atoms:
1 Tb 0.0000 0.0000 0.0000 [2 per cell]
2 Tb 0.1149 0.0000 0.4296 [4 per cell]
3 Er 0.1676 0.5000 0.8096 [4 per cell]
4 Rh 0.1803 0.5000 0.2395 [4 per cell]

Entry 11:
VASP calculation (GGA-PBE) on crystalline Tb2Er3Rh2 at its relaxed geometry.

Cell lengths 11.9861, 3.7691, 8.8864 Å; angles 90.00, 116.38, 90.00 degrees
Space group C2/m (No. 12)
One atom of each set of equivalent atoms:
1 Tb 0.1655 0.0000 0.3072 [4 per cell]
2 Er 0.0000 0.5000 0.5000 [2 per cell]
3 Er 0.1165 0.5000 0.9304 [4 per cell]
4 Rh 0.1756 0.0000 0.7409 [4 per cell]

Entry 12:
VASP calculation (GGA-PBE) on crystalline TbErRh at its relaxed geometry.

Cell lengths 6.3781, 6.3809, 14.4772 Å; angles 90.00, 90.00, 90.00 degrees
Space group Fmmm (No. 69)
One atom of each set of equivalent atoms:
1 Tb 0.0000 0.0000 0.1859 [8 per cell]
2 Er 0.2500 0.2500 0.0000 [8 per cell]
3 Rh 0.0000 0.0000 0.3732 [8 per cell]

Calculated values
Polymorph energy (0 for the lowest one), eV per atom: 0.074

Entry 13:
VASP calculation (GGA-PBE) on crystalline Tb2Er5Rh4 at its relaxed geometry.

Cell lengths 20.4246, 3.2753, 8.1428 Å; angles 90.00, 99.87, 90.00 degrees
Space group C2/m (No. 12)
One atom of each set of equivalent atoms:
1 Tb 0.0695 0.0000 0.1554 [4 per cell]
2 Er 0.0000 0.5000 0.5000 [2 per cell]
3 Er 0.1733 0.0000 0.5215 [4 per cell]
4 Er 0.1819 0.0000 0.9109 [4 per cell]
5 Rh 0.0535 0.0000 0.7899 [4 per cell]
6 Rh 0.2316 0.0000 0.2474 [4 per cell]

Entry 14:
VASP calculation (GGA-PBE) on crystalline TbEr5Rh6 at its relaxed geometry.

Cell lengths 4.7961, 14.4090, 6.8410 Å; angles 90.00, 90.00, 90.00 degrees
Space group Cmmm (No. 65)
One atom of each set of equivalent atoms:
1 Tb 0.0000 0.0000 0.0000 [2 per cell]
2 Er 0.0000 0.0000 0.5000 [2 per cell]
3 Er 0.0000 0.3328 0.0000 [4 per cell]
4 Er 0.0000 0.3332 0.5000 [4 per cell]
5 Rh 0.0000 0.1674 0.2510 [8 per cell]
6 Rh 0.0000 0.5000 0.2524 [4 per cell]

Entry 15:
VASP calculation (GGA-PBE) on crystalline TbEr4Rh5 at its relaxed geometry.

Cell lengths 3.3666, 3.3666, 17.3916 Å; angles 90.00, 90.00, 90.00 degrees
Space group P4/mmm (No. 123)
One atom of each set of equivalent atoms:
1 Tb 0.0000 0.0000 0.0000 [1 per cell]
2 Er 0.0000 0.0000 0.2014 [2 per cell]
3 Er 0.0000 0.0000 0.4005 [2 per cell]
4 Rh 0.5000 0.5000 0.1028 [2 per cell]
5 Rh 0.5000 0.5000 0.3012 [2 per cell]
6 Rh 0.5000 0.5000 0.5000 [1 per cell]

Entry 16:
VASP calculation (GGA-PBE) on crystalline TbErTh2Rh4 at its relaxed geometry.

Cell lengths 7.9026, 11.1245, 8.2989 Å; angles 90.00, 90.00, 90.00 degrees
Space group Fmm2 (No. 42)
One atom of each set of equivalent atoms:
1 Tb 0.0000 0.0000 0.0000 [4 per cell]
2 Er 0.0000 0.0000 0.5726 [4 per cell]
3 Th 0.2500 0.2500 0.2187 [8 per cell]
4 Rh 0.0000 0.2327 0.4641 [8 per cell]
5 Rh 0.2017 0.0000 0.2843 [8 per cell]

Entry 17:
VASP calculation (GGA-PBE) on crystalline TbErTlRh at its relaxed geometry.

Cell lengths 3.5240, 3.5240, 7.6125 Å; angles 90.00, 90.00, 90.00 degrees
Space group P4mm (No. 99)
One atom of each set of equivalent atoms:
1 Tb 0.0000 0.0000 0.0000 [1 per cell]
2 Er 0.0000 0.0000 0.5702 [1 per cell]
3 Tl 0.5000 0.5000 0.2888 [1 per cell]
4 Rh 0.5000 0.5000 0.7779 [1 per cell]

Calculated values
Polymorph energy (0 for the lowest one), eV per atom: 0.000

Entry 18:
VASP calculation (GGA-PBE) on crystalline TbErTlRh at its relaxed geometry.

Cell lengths 7.2179, 7.2179, 7.2179 Å; angles 90.00, 90.00, 90.00 degrees
Space group F-43m (No. 216)
One atom of each set of equivalent atoms:
1 Tb 0.0000 0.0000 0.0000 [4 per cell]
2 Er 0.0000 0.0000 0.5000 [4 per cell]
3 Tl 0.2500 0.2500 0.7500 [4 per cell]
4 Rh 0.2500 0.2500 0.2500 [4 per cell]

Calculated values
Polymorph energy (0 for the lowest one), eV per atom: 0.122

Entry 19:
VASP calculation (GGA-PBE) on crystalline TbEr2TmRh4 at its relaxed geometry.

Cell lengths 4.8087, 4.8087, 23.5905 Å; angles 90.00, 90.00, 120.00 degrees
Space group R-3m (No. 166, hexagonal axes)
One atom of each set of equivalent atoms:
1 Tb 0.0000 0.0000 0.0000 [3 per cell]
2 Er 0.0000 0.0000 0.2493 [6 per cell]
3 Tm 0.0000 0.0000 0.5000 [3 per cell]
4 Rh 0.0000 0.0000 0.1258 [6 per cell]
5 Rh 0.0000 0.0000 0.3759 [6 per cell]

Entry 20:
VASP calculation (GGA-PBE) on crystalline Er8Tc2Rh at its relaxed geometry.

Cell lengths 8.3183, 12.6860, 5.6840 Å; angles 90.00, 110.50, 90.00 degrees
Space group Cm (No. 8)
One atom of each set of equivalent atoms:
1 Er 0.0000 0.0000 0.0000 [2 per cell]
2 Er 0.0703 0.3701 0.7954 [4 per cell]
3 Er 0.1554 0.1298 0.5937 [4 per cell]
4 Er 0.2252 0.5000 0.3880 [2 per cell]
5 Er 0.3629 0.2115 0.1944 [4 per cell]
6 Tc 0.3624 0.3088 0.6936 [4 per cell]
7 Rh 0.3627 0.0000 0.1891 [2 per cell]

Calculated values
Polymorph energy (0 for the lowest one), eV per atom: 0.050

Entry 21:
VASP calculation (GGA-PBE) on crystalline Er8Tc2Rh at its relaxed geometry.

Cell lengths 17.4819, 4.7348, 6.8915 Å; angles 90.00, 107.68, 90.00 degrees
Space group C2/m (No. 12)
One atom of each set of equivalent atoms:
1 Er 0.0291 0.0000 0.2909 [4 per cell]
2 Er 0.0980 0.5000 0.9584 [4 per cell]
3 Er 0.1685 0.5000 0.4621 [4 per cell]
4 Er 0.2055 0.0000 0.8139 [4 per cell]
5 Tc 0.1813 0.0000 0.1985 [4 per cell]
6 Rh 0.0000 0.5000 0.5000 [2 per cell]

Calculated values
Polymorph energy (0 for the lowest one), eV per atom: 0.000

Entry 22:
VASP calculation (GGA-PBE) on crystalline Er2TcRh at its relaxed geometry.

Cell lengths 3.3927, 3.3927, 6.8255 Å; angles 90.00, 90.00, 90.00 degrees
Space group P4/mmm (No. 123)
One atom of each set of equivalent atoms:
1 Er 0.0000 0.0000 0.2487 [2 per cell]
2 Tc 0.5000 0.5000 0.0000 [1 per cell]
3 Rh 0.5000 0.5000 0.5000 [1 per cell]

Entry 23:
VASP calculation (GGA-PBE) on crystalline ErTmTcRh at its relaxed geometry.

Cell lengths 6.7682, 6.7682, 6.7682 Å; angles 90.00, 90.00, 90.00 degrees
Space group F-43m (No. 216)
One atom of each set of equivalent atoms:
1 Er 0.0000 0.0000 0.0000 [4 per cell]
2 Tm 0.0000 0.0000 0.5000 [4 per cell]
3 Tc 0.2500 0.2500 0.2500 [4 per cell]
4 Rh 0.2500 0.2500 0.7500 [4 per cell]

Number 1: calculated formation energy -0.628 eV/atom. Number 2: calculated formation energy -0.420 eV/atom. Number 3: calculated formation energy -0.376 eV/atom. Number 4: calculated formation energy -0.747 eV/atom. Number 5: calculated formation energy -0.418 eV/atom. Number 6: calculated formation energy -0.416 eV/atom. Number 7: calculated formation energy -0.579 eV/atom. Number 8: calculated formation energy -0.873 eV/atom. Number 9: calculated formation energy -0.507 eV/atom. Number 10: calculated formation energy -0.580 eV/atom. Number 11: calculated formation energy -0.599 eV/atom. Number 12: calculated formation energy -0.566 eV/atom. Number 13: calculated formation energy -0.347 eV/atom. Number 14: calculated formation energy -0.922 eV/atom. Number 15: calculated formation energy -0.912 eV/atom. Number 16: calculated formation energy -0.791 eV/atom. Number 17: calculated formation energy -0.623 eV/atom. Number 18: calculated formation energy -0.501 eV/atom. Number 19: calculated formation energy -0.927 eV/atom. Number 20: calculated formation energy -0.196 eV/atom. Number 21: calculated formation energy -0.246 eV/atom. Number 22: calculated formation energy -0.399 eV/atom. Number 23: calculated formation energy -0.397 eV/atom.